## MgCr4O9 (GGA+U)

Data for crystalline MgCr4O9 at its relaxed geometry.

- energy (eV per atom) = -6.9791

Cell: 8.3555 8.3555 4.8448 Å, 90.00 90.00 90.00°
Space group P4/n (No. 85, origin choice 2)
One atom of each set of equivalent atoms:
1 Mg 0.2500 0.2500 0.1296 [2 per cell]
2 Cr 0.0352 0.6590 0.3810 [8 per cell]
3 O 0.0276 0.3174 0.9485 [8 per cell]
4 O 0.0426 0.1457 0.4555 [8 per cell]
5 O 0.2500 0.7500 0.5000 [2 per cell]